A plane-wave DFT calculation with PBE was carried out for MnSi after structural relaxation.

Lattice parameters (Å, degrees): 2.6965 12.4827 4.0904 90.00 90.00 90.00
Positions (direct):
Mn: 0.0000 0.3289 0.8460
Si: 0.5000 0.3324 0.3516
Mn: 0.5000 0.0000 0.5539
Mn: 0.0000 0.8289 0.3460
Mn: 0.0000 0.6711 0.8460
Si: 0.0000 0.0000 0.0527
Si: 0.5000 0.1676 0.8516
Si: 0.5000 0.6676 0.3516
Mn: 0.0000 0.1711 0.3460
Si: 0.0000 0.5000 0.5527
Mn: 0.5000 0.5000 0.0539
Si: 0.5000 0.8324 0.8516

Output
- Final energy: -90.81 eV for the cell shown
- SG: No. 38
- Density of states at the Fermi level: 0.876 states/eV per atom
- Mass density: 6.01 g cm⁻³
- Uncorrected formation energy: -0.271 eV/atom